No. 1
## SiSbP2Cl (meta-GGA SCAN)

Data for a PBEsol-optimized structure of SiSbP2Cl.

Cell: 5.015 5.015 4.950 Å, 90.00 90.00 90.00°
Fractional coordinates of all 5 atoms:
Si1 0.000 0.000 0.000
Sb1 0.500 0.500 0.500
P1 0.000 0.500 0.500
P2 0.500 0.000 0.500
Cl1 0.500 0.500 0.000

Results
E_form (uncorrected) = 1.114 eV/atom
Spin magnetization = 0.00 μB per atom

=====

No. 2
## Sb2TePb (meta-GGA SCAN)

Data for a PBEsol-optimized structure of Sb2TePb.

Cell: 6.794 6.794 4.536 Å, 103.05 103.05 37.79°
Fractional coordinates of all 4 atoms:
Sb1 0.248 0.248 0.283
Sb2 0.752 0.752 0.717
Te1 0.000 0.000 0.000
Pb1 0.500 0.500 0.500

Results
E_form (uncorrected) = -0.079 eV/atom
Energy relative to the lowest polymorph listed for this composition = 0.045 eV per atom
Spin magnetization = 0.00 μB per atom

=====

No. 3
## NbAlCu3 (meta-GGA SCAN)

Data for a PBEsol-optimized structure of NbAlCu3.

Cell: 4.687 4.687 4.687 Å, 90.00 90.00 90.00°
Fractional coordinates of all 5 atoms:
Nb1 0.000 0.000 0.000
Al1 0.500 0.500 0.500
Cu1 0.000 0.000 0.500
Cu2 0.000 0.500 0.000
Cu3 0.500 0.000 0.000

Results
Total energy = -15.722 eV/atom
Spin magnetization = 0.00 μB per atom

=====

No. 4
## Ba2MnMo (meta-GGA SCAN)

Data for a PBEsol-optimized structure of Ba2MnMo.

Cell: 3.336 3.336 9.770 Å, 90.00 90.00 90.00°
Fractional coordinates of all 4 atoms:
Ba1 0.000 0.000 0.000
Ba2 0.500 0.500 0.403
Mn1 0.000 0.000 0.671
Mo1 0.500 0.500 0.727

Results
Energy relative to the lowest polymorph listed for this composition = 0.000 eV per atom
Spin magnetization = 0.18 μB per atom

=====

No. 5
## TlPNCl2 (meta-GGA SCAN)

Data for a PBEsol-optimized structure of TlPNCl2.

Cell: 5.972 5.972 3.223 Å, 90.00 90.00 90.00°
Fractional coordinates of all 5 atoms:
Tl1 0.000 0.000 0.000
P1 0.500 0.500 0.000
N1 0.500 0.500 0.500
Cl1 0.000 0.500 0.500
Cl2 0.500 0.000 0.500

Results
E_form (uncorrected) = 0.243 eV/atom
Spin magnetization = 0.08 μB per atom

=====

No. 6
## La2YZn (meta-GGA SCAN)

Data for a PBEsol-optimized structure of La2YZn.

Cell: 6.302 6.302 3.557 Å, 102.33 102.33 119.97°
Fractional coordinates of all 4 atoms:
La1 0.000 0.500 0.000
La2 0.500 0.000 0.000
Y1 0.000 0.000 0.500
Zn1 0.500 0.500 0.500

Results
Energy relative to the lowest polymorph listed for this composition = 0.242 eV per atom
Spin magnetization = 0.00 μB per atom

=====

No. 7
## BaI2NCl (meta-GGA SCAN)

Data for a PBEsol-optimized structure of BaI2NCl.

Cell: 6.381 6.381 3.654 Å, 90.00 90.00 90.00°
Fractional coordinates of all 5 atoms:
Ba1 0.000 0.000 0.000
I1 0.000 0.500 0.500
I2 0.500 0.000 0.500
N1 0.500 0.500 0.000
Cl1 0.500 0.500 0.500

Results
E_form (uncorrected) = 0.166 eV/atom
Spin magnetization = 0.00 μB per atom

=====

No. 8
## HgOsPb2 (meta-GGA SCAN)

Data for a PBEsol-optimized structure of HgOsPb2.

Cell: 5.045 5.045 3.385 Å, 90.00 90.00 90.00°
Fractional coordinates of all 4 atoms:
Hg1 0.000 0.000 0.000
Os1 0.500 0.500 0.000
Pb1 0.000 0.500 0.500
Pb2 0.500 0.000 0.500

Results
Total energy = -71.965 eV/atom
Spin magnetization = 0.00 μB per atom

=====

No. 9
## ReH2Rh2 (meta-GGA SCAN)

Data for a PBEsol-optimized structure of ReH2Rh2.

Cell: 6.539 6.539 6.539 Å, 155.69 155.69 34.65°
Fractional coordinates of all 5 atoms:
Re1 0.000 0.000 0.000
H1 0.250 0.750 0.500
H2 0.750 0.250 0.500
Rh1 0.351 0.351 0.000
Rh2 0.649 0.649 0.000

Results
Total energy = -29.135 eV/atom
Spin magnetization = 0.00 μB per atom

=====

No. 10
## TmSi2Ni2 (meta-GGA SCAN)

Data for a PBEsol-optimized structure of TmSi2Ni2.

Cell: 5.441 5.441 5.441 Å, 138.08 138.08 60.77°
Fractional coordinates of all 5 atoms:
Tm1 0.000 0.000 0.000
Si1 0.374 0.374 0.000
Si2 0.626 0.626 0.000
Ni1 0.250 0.750 0.500
Ni2 0.750 0.250 0.500

Results
E_form (uncorrected) = -0.874 eV/atom
Spin magnetization = 0.00 μB per atom

=====

No. 11
## LaZrSc2 (meta-GGA SCAN)

Data for a PBEsol-optimized structure of LaZrSc2.

Cell: 3.338 4.475 6.730 Å, 90.00 90.00 90.00°
Fractional coordinates of all 4 atoms:
La1 0.000 0.000 0.000
Zr1 0.000 0.000 0.500
Sc1 0.500 0.500 0.274
Sc2 0.500 0.500 0.726

Results
Energy relative to the lowest polymorph listed for this composition = 0.023 eV per atom
Spin magnetization = 0.00 μB per atom

=====

No. 12
## TaZnOs (meta-GGA SCAN)

Data for a PBEsol-optimized structure of TaZnOs.

Cell: 4.792 4.792 4.792 Å, 143.34 136.21 58.40°
Fractional coordinates of all 3 atoms:
Ta1 0.000 0.000 0.000
Zn1 0.676 0.676 0.000
Os1 0.338 0.338 0.000

Results
Energy relative to the lowest polymorph listed for this composition = 0.000 eV per atom
Spin magnetization = 0.00 μB per atom

=====

What did the sixth record say?
## La2YZn (meta-GGA SCAN)

Data for a PBEsol-optimized structure of La2YZn.

Cell: 6.302 6.302 3.557 Å, 102.33 102.33 119.97°
Fractional coordinates of all 4 atoms:
La1 0.000 0.500 0.000
La2 0.500 0.000 0.000
Y1 0.000 0.000 0.500
Zn1 0.500 0.500 0.500

Results
Energy relative to the lowest polymorph listed for this composition = 0.242 eV per atom
Spin magnetization = 0.00 μB per atom